No. 1
La4Y3HoS8: optimized geometry, GGA-PBE.

```
La4Y3HoS8
1.0
8.005 0.000 0.000
0.000 8.125 0.078
-4.003 -3.999 5.664
Y S La Ho
3 8 4 1
direct
0.500 0.500 0.000
0.500 0.500 0.500
0.000 0.500 0.500
0.257 0.270 0.513
0.255 0.271 0.013
0.242 0.729 0.987
0.743 0.730 0.487
0.758 0.271 0.013
0.758 0.271 0.516
0.745 0.729 0.987
0.242 0.729 0.484
0.000 0.000 0.500
0.000 0.000 0.000
0.500 0.000 0.500
0.500 0.000 0.000
0.000 0.500 0.000
```

Output
As for the total energy: -6.88 eV/atom. For the formation energy (no corrections), the calculation gives -2.08 eV/atom. As for the crystal system: trigonal.



No. 2
LaYHoS3: optimized geometry, GGA-PBE.

```
LaYHoS3
1.0
-0.773 3.797 0.883
-5.971 -2.186 4.172
7.483 -0.034 6.698
La S Ho Y
2 6 2 2
direct
0.250 0.187 0.212
0.750 0.813 0.788
0.250 0.090 0.884
0.250 0.523 0.816
0.250 0.804 0.562
0.750 0.477 0.184
0.750 0.910 0.116
0.750 0.196 0.438
0.250 0.670 0.091
0.750 0.330 0.909
0.250 0.182 0.620
0.750 0.818 0.380
```

Output
As for the total energy: -6.57 eV/atom. For the formation energy (no corrections), the calculation gives -1.85 eV/atom. As for the crystal system: monoclinic.



No. 3
La2YHoS4: optimized geometry, GGA-PBE.

```
La2YHoS4
1.0
-3.733 -0.946 0.973
2.267 -5.759 3.098
-0.097 5.270 4.753
Y Ho S La
1 1 4 2
direct
0.000 0.000 0.000
0.500 0.500 0.000
0.000 0.259 0.772
0.000 0.741 0.228
0.500 0.244 0.229
0.500 0.756 0.771
0.000 0.500 0.500
0.500 0.000 0.500
```

Output
As for the total energy: -6.76 eV/atom. For the formation energy (no corrections), the calculation gives -2.08 eV/atom. As for the crystal system: monoclinic.



No. 4
La2YHoS5: optimized geometry, GGA-PBE.

```
La2YHoS5
1.0
4.017 0.000 0.000
-2.008 8.367 0.000
0.000 0.000 13.158
Ho S La Y
2 10 4 2
direct
0.775 0.549 0.528
0.225 0.451 0.028
0.382 0.765 0.986
0.493 0.987 0.762
0.264 0.527 0.675
0.618 0.235 0.486
0.736 0.473 0.175
0.301 0.601 0.390
0.699 0.399 0.890
0.929 0.857 0.577
0.071 0.143 0.077
0.507 0.013 0.262
0.911 0.822 0.151
0.089 0.178 0.651
0.862 0.724 0.804
0.138 0.276 0.304
0.455 0.909 0.450
0.545 0.091 0.950
```

Output
As for the total energy: -6.64 eV/atom. For the formation energy (no corrections), the calculation gives -2.02 eV/atom. As for the crystal system: orthorhombic.



No. 5
La3Y2HoS6: optimized geometry, GGA-PBE.

```
La3Y2HoS6
1.0
-2.759 -6.163 -1.571
6.037 0.346 3.391
-4.367 1.927 5.212
La S Y Ho
3 6 2 1
direct
0.833 0.167 0.500
0.500 0.500 0.500
0.167 0.833 0.500
0.255 0.255 0.770
0.408 0.076 0.229
0.924 0.592 0.771
0.076 0.408 0.229
0.592 0.924 0.771
0.745 0.745 0.230
0.333 0.667 0.000
0.667 0.333 0.000
0.000 0.000 0.000
```

Output
As for the total energy: -6.84 eV/atom. For the formation energy (no corrections), the calculation gives -2.09 eV/atom. As for the crystal system: monoclinic.



No. 6
LaYHo2S6: optimized geometry, GGA-PBE.

```
LaYHo2S6
1.0
-4.631 2.957 -4.353
-3.180 -3.880 -4.896
-7.154 -1.590 0.887
Y La S Ho
1 1 6 2
direct
0.315 0.315 0.054
0.807 0.807 0.579
0.142 0.388 0.747
0.912 0.617 0.246
0.724 0.142 0.747
0.388 0.724 0.747
0.617 0.225 0.246
0.225 0.911 0.246
0.014 0.014 0.959
0.518 0.518 0.445
```

Output
As for the total energy: -6.61 eV/atom. For the formation energy (no corrections), the calculation gives -2.08 eV/atom. As for the crystal system: trigonal.